Entry 1:
Here is a geometry-optimized Nd2ZnGaNi6 structure from the Alexandria database. Energies are from PBE.

Lattice parameters (Å, degrees): 8.906 8.906 8.906 90.00 90.00 90.00
Space group Fm-3m (No. 225)
Asymmetric unit:
Nd: 0.250 0.250 0.250
Zn: 0.000 0.000 0.000
Ga: 0.000 0.000 0.500
Ni: 0.000 0.000 0.250

Summary:
Final energy: -4.78 eV/atom
Spin magnetization: 0.00 Bohr magnetons per cell
Calculated formation energy: 0.08 eV per atom



Entry 2:
Here is a geometry-optimized NdZn2GaNi4 structure from the Alexandria database. Energies are from PBE.

Lattice parameters (Å, degrees): 4.0828 4.0828 25.0214 90.00 90.00 120.00
Space group R-3m (No. 166, hexagonal axes)
Asymmetric unit:
Nd: 0.0000 0.0000 0.0000
Zn: 0.0000 0.0000 0.2387
Ga: 0.0000 0.0000 0.5000
Ni: 0.0000 0.0000 0.1317
Ni: 0.0000 0.0000 0.4061

Summary:
Final energy: -4.47 eV/atom
Spin magnetization: 0.00 Bohr magnetons per cell
Calculated formation energy: -0.29 eV per atom



Entry 3:
Here is a geometry-optimized NdZnGa2Ni2 structure from the Alexandria database. Energies are from PBE.

Lattice parameters (Å, degrees): 4.404 4.404 5.593 90.00 90.00 90.00
Space group P4/mmm (No. 123)
Asymmetric unit:
Nd: 0.000 0.000 0.000
Zn: 0.000 0.000 0.500
Ga: 0.500 0.500 0.251
Ni: 0.000 0.500 0.500

Summary:
Final energy: -4.17 eV/atom
Spin magnetization: 0.00 Bohr magnetons per cell
Calculated formation energy: -0.22 eV per atom